# Li4Mn3NiP4O16 | Alexandria | PBE+U | relaxed
# Fermi-level density of states   0.000 states/eV per atom
# Total moment   17.00 μB per formula unit
# DFT total energy   -6.95 eV per atom
data_Li4Mn3NiP4O16
_space_group_name_H-M_alt 'P 1'
_space_group_IT_number 1
_cell_length_a 4.778
_cell_length_b 6.110
_cell_length_c 10.484
_cell_angle_alpha 90.00
_cell_angle_beta 90.03
_cell_angle_gamma 90.00
loop_
_space_group_symop_operation_xyz
'x,y,z'
loop_
_atom_site_label
_atom_site_fract_x
_atom_site_fract_y
_atom_site_fract_z
Li1 0.000 0.249 0.000
Li2 0.000 0.751 0.000
Li3 0.498 0.251 0.509
Li4 0.498 0.749 0.509
Mn1 0.479 0.500 0.225
Mn2 0.524 0.000 0.782
Mn3 0.974 0.000 0.286
Ni1 0.020 0.500 0.725
P1 0.084 0.000 0.597
P2 0.411 0.000 0.096
P3 0.591 0.500 0.905
P4 0.914 0.500 0.418
O1 0.212 0.000 0.461
O2 0.214 0.204 0.667
O3 0.214 0.796 0.667
O4 0.235 0.500 0.412
O5 0.269 0.500 0.898
O6 0.277 0.202 0.165
O7 0.277 0.798 0.165
O8 0.289 0.000 0.958
O9 0.705 0.500 0.044
O10 0.732 0.000 0.100
O11 0.732 0.299 0.836
O12 0.732 0.701 0.836
O13 0.762 0.000 0.598
O14 0.778 0.299 0.348
O15 0.778 0.701 0.348
O16 0.795 0.500 0.556